Entry 1:
The following is a DFT calculation (PBE-GGA) of SmGe2RuRh after structural relaxation.

abc: 4.2285 4.2285 10.1939
angles: 90.00 90.00 90.00
Last column: nearest neighbours and their distance in Å.
Space group I-4m2 (No. 119)
Asymmetric unit:
1 Sm 0.0000 0.0000 0.0000 [2 per cell]  8 Ge 3.26, 4 Ru 3.31, 4 Rh 3.31
2 Ge 0.0000 0.0000 0.3727 [4 per cell]  2 Ru 2.46, 2 Rh 2.46, 1 Ge 2.60
3 Ru 0.0000 0.5000 0.7500 [2 per cell]  4 Ge 2.46
4 Rh 0.0000 0.5000 0.2500 [2 per cell]  4 Ge 2.46

Values from the calculation:
ΔH_f (0 K) in kJ/mol of atoms: -77.2
Magnetic moment in μB per formula unit: 0.000
Electronic total energy in Ry/atom: -0.5083



Entry 2:
The following is a DFT calculation (PBE-GGA) of Nd8Ni2Ru after structural relaxation.

abc: 17.9656 5.1738 6.7484
angles: 90.00 105.16 90.00
Last column: nearest neighbours and their distance in Å.
Space group C2/m (No. 12)
Asymmetric unit:
1 Nd 0.0364 0.0000 0.2953 [4 per cell]  1 Ni 2.80, 2 Ru 3.08
2 Nd 0.0884 0.5000 0.9457 [4 per cell]  1 Ru 3.01
3 Nd 0.1724 0.5000 0.4804 [4 per cell]  1 Ni 2.77
4 Nd 0.1983 0.0000 0.8378 [4 per cell]  1 Ni 2.76
5 Ni 0.1849 0.0000 0.2355 [4 per cell]  3 Nd 2.76-2.80
6 Ru 0.0000 0.5000 0.5000 [2 per cell]  8 Nd 3.01-3.13

Values from the calculation:
ΔH_f (0 K) in kJ/mol of atoms: -12.3
Magnetic moment in μB per formula unit: 0.000
Electronic total energy in Ry/atom: -0.4034



Entry 3:
The following is a DFT calculation (PBE-GGA) of TlNi3Mo after structural relaxation.

abc: 4.5800 4.5800 4.5800
angles: 90.00 90.00 90.00
Last column: nearest neighbours and their distance in Å.
Space group Pm-3m (No. 221)
Asymmetric unit:
1 Tl 0.0000 0.0000 0.0000 [1 per cell]  12 Ni 3.24
2 Ni 0.0000 0.5000 0.5000 [3 per cell]  2 Mo 2.29
3 Mo 0.5000 0.5000 0.5000 [1 per cell]  6 Ni 2.29

Values from the calculation:
ΔH_f (0 K) in kJ/mol of atoms: 113.8
Magnetic moment in μB per formula unit: 0.000
Electronic total energy in Ry/atom: -0.3623



Entry 4:
The following is a DFT calculation (PBE-GGA) of AcTb5Tm4 after structural relaxation.

abc: 16.8231 3.5402 11.5011
angles: 90.00 108.86 90.00
Last column: nearest neighbours and their distance in Å.
Space group C2/m (No. 12)
Asymmetric unit:
1 Ac 0.0000 0.0000 0.0000 [2 per cell]  6 Tm 3.37-3.66, 2 Ac 3.54
2 Tb 0.0000 0.0000 0.5000 [2 per cell]  6 Tm 3.31-3.60, 6 Tb 3.50-3.54
3 Tb 0.1895 0.5000 0.5776 [4 per cell]  4 Tm 3.25-3.49, 6 Tb 3.50-3.58
4 Tb 0.2142 0.5000 0.1212 [4 per cell]  6 Tb 3.54-3.81, 5 Tm 3.64-3.76, 2 Ac 3.85
5 Tm 0.0843 0.5000 0.7865 [4 per cell]  6 Tb 3.41-3.76, 4 Tm 3.52-3.54, 2 Ac 3.66
6 Tm 0.1069 0.0000 0.3033 [4 per cell]  6 Tb 3.25-3.64, 1 Ac 3.37, 4 Tm 3.52-3.54

Values from the calculation:
ΔH_f (0 K) in kJ/mol of atoms: 5.2
Magnetic moment in μB per formula unit: 0.000
Electronic total energy in Ry/atom: -0.3279



Entry 5:
The following is a DFT calculation (PBE-GGA) of BaTl2Sb after structural relaxation.

abc: 4.8313 4.8260 6.1484
angles: 90.00 90.03 90.00
Last column: nearest neighbours and their distance in Å.
Space group Pm (No. 6)
Asymmetric unit:
1 Ba 0.0000 0.0000 0.0000 [1 per cell]  4 Sb 3.57, 4 Tl 3.76-3.77
2 Tl 0.4985 0.0000 0.4703 [1 per cell]  2 Sb 3.27, 4 Tl 3.41
3 Tl 0.9985 0.5000 0.4708 [1 per cell]  2 Sb 3.27, 4 Tl 3.41
4 Sb 0.4997 0.5000 0.8295 [1 per cell]  4 Tl 3.27, 4 Ba 3.57

Values from the calculation:
Magnetic moment in μB per formula unit: 0.000
Formation energy (no corrections) in eV per atom: -0.491
Electronic total energy in Ry/atom: -0.2341



Entry 6:
The following is a DFT calculation (PBE-GGA) of CaIn3Ag3 after structural relaxation.

abc: 7.6128 7.6128 7.6128
angles: 90.00 90.00 90.00
Last column: nearest neighbours and their distance in Å.
Space group Pm-3n (No. 223)
Asymmetric unit:
1 Ca 0.0000 0.0000 0.0000 [2 per cell]  12 In 4.26, 12 Ag 4.26
2 In 0.0000 0.2500 0.5000 [6 per cell]  4 Ag 2.69
3 Ag 0.0000 0.5000 0.2500 [6 per cell]  4 In 2.69

Values from the calculation:
ΔH_f (0 K) in kJ/mol of atoms: 22.2
Magnetic moment in μB per formula unit: 0.000
Electronic total energy in Ry/atom: -0.1801